(1)
Here is a geometry-optimized CsCa3Tl structure from Alexandria via LeMat-Bulk. Energies are from GGA-PBE.

Crystal system: cubic
Symmetry: No. 221
E, eV for the cell shown: -9.26

Cell lengths 6.2679, 6.2679, 6.2679 Å; angles 90.00, 90.00, 90.00 degrees
With the nearest neighbours (Å) after each atom.
Positions (direct):
Tl1 0.0000 0.0000 0.0000  6 Ca 3.13
Ca1 0.0000 0.5000 0.0000  2 Tl 3.13
Ca2 0.0000 0.0000 0.5000  2 Tl 3.13
Ca3 0.5000 0.0000 0.0000  2 Tl 3.13
Cs1 0.5000 0.5000 0.5000  12 Ca 4.43

(2)
Here is a geometry-optimized ZrCu2Sb structure from Alexandria via LeMat-Bulk. Energies are from GGA-PBE.

Crystal system: monoclinic
Energy relative to the elements, uncorrected, kJ/mol of formula units: -38
Symmetry: No. 6
E, eV for the cell shown: -21.26

Cell lengths 4.2923, 3.1244, 5.4960 Å; angles 89.99, 90.00, 90.00 degrees
With the nearest neighbours (Å) after each atom.
Positions (direct):
Cu1 0.0000 0.2489 0.0016  2 Cu 2.46, 1 Sb 2.74
Cu2 0.5000 0.2517 0.2215  2 Cu 2.46, 2 Sb 2.65
Zr1 0.5000 0.7497 0.7732  6 Cu 2.91-2.94, 4 Sb 3.04, 2 Zr 3.12
Sb1 0.0000 0.2497 0.5037  4 Cu 2.65-2.76

Number 1: V 49.2 A^3/atom. Number 2: V 18.4 A^3/atom.